Record 1
KLi2ZrNb | GGA-PBE | optimized geometry

a = 4.2606 Å, b = 4.2606 Å, c = 5.7089 Å
α = 90.00°, β = 90.00°, γ = 90.00°
Closest atoms and distances in Å follow each position.
Fractional coordinates of all 5 atoms:
K 0.0000 0.0000 0.0000  4 Li 2.13
Li 0.0000 0.5000 0.0000  2 K 2.13
Li 0.5000 0.0000 0.0000  2 K 2.13
Zr 0.0000 0.0000 0.5000  2 K 2.85, 4 Nb 3.01
Nb 0.5000 0.5000 0.5000  4 Zr 3.01

## Properties
ΔE_f in eV per atom: 1.40
D(E_F) in states/eV/atom: 1.280

Record 2
Ge2PPbO | GGA-PBE | optimized geometry

a = 5.5961 Å, b = 5.5961 Å, c = 4.9953 Å
α = 90.00°, β = 90.00°, γ = 90.00°
Closest atoms and distances in Å follow each position.
Fractional coordinates of all 5 atoms:
Ge 0.0000 0.5000 0.0000  2 Pb 2.80
Ge 0.5000 0.0000 0.0000  2 Pb 2.80
P 0.0000 0.0000 0.5000  2 Pb 2.50
Pb 0.0000 0.0000 0.0000  2 P 2.50
O 0.5000 0.5000 0.5000  8 Ge 3.75, 4 P 3.96

## Properties
Uncorrected formation energy in eV per atom: 1.594
D(E_F) in states/eV/atom: 1.199

Record 3
CsAs2IrBr | GGA-PBE | optimized geometry

a = 4.7252 Å, b = 4.7252 Å, c = 9.1876 Å
α = 90.00°, β = 90.00°, γ = 90.00°
Closest atoms and distances in Å follow each position.
Fractional coordinates of all 5 atoms:
Cs 0.0000 0.0000 0.0000  4 Br 3.34
As 0.0000 0.5000 0.5000  2 Ir 2.36
As 0.5000 0.0000 0.5000  2 Ir 2.36
Ir 0.5000 0.5000 0.5000  4 As 2.36
Br 0.5000 0.5000 0.0000  4 Cs 3.34

## Properties
ΔE to the lowest computed polymorph in kJ/mol of atoms: 0.00
Uncorrected formation energy in eV per atom: -0.161
D(E_F) in states/eV/atom: 0.737

Record 4
Li4In7Sn | GGA-PBE | optimized geometry

a = 5.9033 Å, b = 6.8128 Å, c = 7.9974 Å
α = 70.43°, β = 86.61°, γ = 68.52°
Closest atoms and distances in Å follow each position.
Fractional coordinates of all 12 atoms:
Li 0.1541 0.3806 0.2210  8 In 2.93-3.26, 1 Sn 3.18, 1 Li 3.25
Li 0.2161 0.8369 0.2187  1 Sn 2.87, 4 In 2.88-3.15
Li 0.7839 0.1631 0.7813  1 Sn 2.87, 4 In 2.88-3.15
Li 0.8459 0.6194 0.7790  8 In 2.93-3.26, 1 Sn 3.18, 1 Li 3.25
In 0.2588 0.4754 0.5471  3 Li 2.88-3.05, 4 In 2.96-3.17, 1 Sn 3.23
In 0.2664 0.1994 0.9240  4 Li 2.88-3.15, 2 In 2.96-3.03
In 0.2837 0.7149 0.8847  5 Li 3.02-3.27, 1 In 3.16, 1 Sn 3.20
In 0.5000 0.0000 0.5000  2 Li 2.94, 2 Sn 2.95, 2 In 3.17
In 0.7163 0.2851 0.1153  5 Li 3.02-3.27, 1 In 3.16, 1 Sn 3.20
In 0.7336 0.8006 0.0760  4 Li 2.88-3.15, 2 In 2.96-3.03
In 0.7412 0.5246 0.4529  3 Li 2.88-3.05, 4 In 2.96-3.17, 1 Sn 3.23
Sn 0.0000 0.0000 0.5000  4 Li 2.87-3.18, 4 In 2.95-3.20

## Properties
ΔE_f in eV per atom: -0.13
D(E_F) in states/eV/atom: 0.440

Record 5
Ca2TlCl2 | GGA-PBE | optimized geometry

a = 4.5924 Å, b = 4.5924 Å, c = 14.0251 Å
α = 90.00°, β = 90.00°, γ = 90.00°
Closest atoms and distances in Å follow each position.
Fractional coordinates of all 10 atoms:
Ca 0.0000 0.0000 0.1322  4 Cl 2.83
Ca 0.0000 0.0000 0.8678  4 Cl 2.83
Ca 0.5000 0.5000 0.3678  4 Cl 2.83
Ca 0.5000 0.5000 0.6322  4 Cl 2.83
Tl 0.0000 0.0000 0.5000  8 Ca 3.74
Tl 0.5000 0.5000 0.0000  8 Ca 3.74
Cl 0.0000 0.5000 0.2500  4 Ca 2.83
Cl 0.0000 0.5000 0.7500  4 Ca 2.83
Cl 0.5000 0.0000 0.2500  4 Ca 2.83
Cl 0.5000 0.0000 0.7500  4 Ca 2.83

## Properties
Uncorrected formation energy in eV per atom: -1.347
D(E_F) in states/eV/atom: 0.545

Record 6
ReAg2Ir | GGA-PBE | optimized geometry

a = 2.7789 Å, b = 3.9230 Å, c = 5.9974 Å
α = 90.00°, β = 90.16°, γ = 90.00°
Closest atoms and distances in Å follow each position.
Fractional coordinates of all 4 atoms:
Re 0.0000 0.0000 0.0000  4 Ir 2.62, 2 Re 2.78, 1 Ag 2.81
Ag 0.0021 0.0000 0.5319  6 Ag 2.78-2.81, 1 Re 2.81, 4 Ir 2.97-2.98
Ag 0.5010 0.5000 0.2905  6 Ag 2.78-2.81, 1 Ir 2.79, 4 Re 2.97
Ir 0.5006 0.5000 0.8254  4 Re 2.62, 2 Ir 2.78, 1 Ag 2.79

## Properties
ΔE_f in eV per atom: 0.31
ΔE to the lowest computed polymorph in kJ/mol of atoms: 10.05
D(E_F) in states/eV/atom: 0.615

Record 7
LaMn2Fe | GGA-PBE | optimized geometry

a = 3.3733 Å, b = 4.3947 Å, c = 4.7162 Å
α = 90.00°, β = 90.00°, γ = 90.00°
Closest atoms and distances in Å follow each position.
Fractional coordinates of all 4 atoms:
La 0.0000 0.0000 0.0000  4 Fe 2.77, 4 Mn 2.90
Mn 0.0000 0.5000 0.5000  4 Mn 2.77, 4 Fe 2.90
Mn 0.5000 0.0000 0.5000  4 Mn 2.77, 4 La 2.90
Fe 0.5000 0.5000 0.0000  4 La 2.77, 4 Mn 2.90

## Properties
ΔE_f in eV per atom: 0.55
ΔE to the lowest computed polymorph in kJ/mol of atoms: 33.73
D(E_F) in states/eV/atom: 1.251

Record 8
CaGa8Pd4 | GGA-PBE | optimized geometry

a = 6.8847 Å, b = 6.8847 Å, c = 6.8847 Å
α = 99.39°, β = 99.39°, γ = 132.36°
Closest atoms and distances in Å follow each position.
Fractional coordinates of all 13 atoms:
Ca 0.0000 0.0000 0.0000  12 Ga 3.12-3.40, 8 Pd 3.44
Ga 0.0000 0.3503 0.3503  3 Ga 2.67-2.84, 4 Pd 2.77
Ga 0.0000 0.6497 0.6497  3 Ga 2.67-2.84, 4 Pd 2.77
Ga 0.2810 0.5000 0.7810  4 Pd 2.64, 4 Ga 2.76-2.84
Ga 0.3503 0.0000 0.3503  3 Ga 2.67-2.84, 4 Pd 2.77
Ga 0.5000 0.2810 0.7810  4 Pd 2.64, 4 Ga 2.76-2.84
Ga 0.5000 0.7190 0.2190  4 Pd 2.64, 4 Ga 2.76-2.84
Ga 0.6497 0.0000 0.6497  3 Ga 2.67-2.84, 4 Pd 2.77
Ga 0.7190 0.5000 0.2190  4 Pd 2.64, 4 Ga 2.76-2.84
Pd 0.0000 0.0000 0.5000  8 Ga 2.64-2.77, 2 Pd 2.78
Pd 0.0000 0.5000 0.0000  8 Ga 2.64-2.77, 2 Pd 2.78
Pd 0.5000 0.0000 0.0000  8 Ga 2.64-2.77, 2 Pd 2.78
Pd 0.5000 0.5000 0.5000  8 Ga 2.64-2.77, 2 Pd 2.78

## Properties
ΔE_f in eV per atom: -0.52
D(E_F) in states/eV/atom: 0.332